1.
The following is a DFT calculation (PBE) of ReRu2Br after structural relaxation.

Cell: 4.4376 4.4378 4.4227 Å, 120.28 120.28 89.72°
With the nearest neighbours (Å) after each atom.
Fractional coordinates of all 4 atoms:
1 Ru 0.2493 0.7507 0.5000  4 Br 2.70-2.72, 4 Ru 2.71
2 Br 0.5012 0.4988 0.0000  4 Re 2.70-2.72, 4 Ru 2.70-2.72
3 Re 0.7491 0.2509 0.5000  4 Br 2.70-2.72, 4 Ru 2.70-2.71
4 Ru 0.0004 0.9996 0.0000  4 Re 2.70-2.71, 4 Ru 2.71

total magnetic moment: 0.000 μB/atom
uncorrected energy: -28.2 eV for the cell shown
energy relative to the elements, uncorrected: 106.7 kJ per mole of atoms
relative energy among the computed polymorphs: 0.595 eV per atom
Fermi-level density of states: 3.25 states/eV/cell

2.
The following is a DFT calculation (PBE) of Th4RePtSe2 after structural relaxation.

Cell: 4.1718 7.1886 7.7324 Å, 107.95 90.00 90.00°
With the nearest neighbours (Å) after each atom.
Fractional coordinates of all 8 atoms:
1 Se 0.5000 0.0000 0.5000  6 Th 3.20-3.23
2 Th 0.5000 0.2503 0.2177  1 Re 2.81, 2 Pt 2.93, 2 Se 3.15
3 Se 0.0000 0.5000 0.5000  6 Th 3.13-3.15
4 Pt 0.0000 0.0000 0.0000  6 Th 2.92-2.93
5 Th 0.0000 0.2682 0.7823  2 Re 2.87, 1 Pt 2.92, 3 Se 3.13-3.20
6 Th 0.5000 0.7497 0.7823  1 Re 2.81, 2 Pt 2.93, 2 Se 3.15
7 Th 0.0000 0.7318 0.2177  2 Re 2.87, 1 Pt 2.92, 3 Se 3.13-3.20
8 Re 0.5000 0.5000 0.0000  6 Th 2.81-2.87

total magnetic moment: 0.000 μB/atom
uncorrected energy: -63.6 eV for the cell shown
energy relative to the elements, uncorrected: -101.7 kJ per mole of atoms
Fermi-level density of states: 5.05 states/eV/cell